Record 1
Compound: Mn2BeGeC
Source: the Alexandria database
Functional: PBE
Structure: optimized geometry

Calculated values
E	-7.1670	eV per atom
symmetry	No. 123
ΔH_f (0 K)	0.014	eV/atom

The structure in CIF format:
```
data_Mn2BeGeC
_symmetry_space_group_name_H-M 'P 1'
_symmetry_Int_Tables_number 1
_cell_length_a 3.880
_cell_length_b 3.880
_cell_length_c 3.414
_cell_angle_alpha 90.00
_cell_angle_beta 90.00
_cell_angle_gamma 90.00
loop_
_symmetry_equiv_pos_as_xyz
'x,y,z'
loop_
_atom_site_label
_atom_site_fract_x
_atom_site_fract_y
_atom_site_fract_z
Mn1 0.000 0.500 0.000
Mn2 0.500 0.000 0.000
Be1 0.000 0.000 0.500
Ge1 0.500 0.500 0.500
C1 0.000 0.000 0.000
```


Record 2
Compound: Be2GePdC
Source: the Alexandria database
Functional: PBE
Structure: optimized geometry

Calculated values
E	-3.8376	eV per atom
symmetry	No. 123
ΔH_f (0 K)	1.460	eV/atom

The structure in CIF format:
```
data_Be2GePdC
_symmetry_space_group_name_H-M 'P 1'
_symmetry_Int_Tables_number 1
_cell_length_a 4.263
_cell_length_b 4.263
_cell_length_c 3.908
_cell_angle_alpha 90.00
_cell_angle_beta 90.00
_cell_angle_gamma 90.00
loop_
_symmetry_equiv_pos_as_xyz
'x,y,z'
loop_
_atom_site_label
_atom_site_fract_x
_atom_site_fract_y
_atom_site_fract_z
Be1 0.000 0.500 0.000
Be2 0.500 0.000 0.000
Ge1 0.000 0.000 0.000
Pd1 0.500 0.500 0.500
C1 0.000 0.000 0.500
```


Record 3
Compound: Be2GeRuC
Source: the Alexandria database
Functional: PBE
Structure: optimized geometry

Calculated values
E	-5.6508	eV per atom
symmetry	No. 123
ΔH_f (0 K)	0.463	eV/atom

The structure in CIF format:
```
data_Be2GeRuC
_symmetry_space_group_name_H-M 'P 1'
_symmetry_Int_Tables_number 1
_cell_length_a 3.458
_cell_length_b 3.458
_cell_length_c 4.835
_cell_angle_alpha 90.00
_cell_angle_beta 90.00
_cell_angle_gamma 90.00
loop_
_symmetry_equiv_pos_as_xyz
'x,y,z'
loop_
_atom_site_label
_atom_site_fract_x
_atom_site_fract_y
_atom_site_fract_z
Be1 0.000 0.500 0.000
Be2 0.500 0.000 0.000
Ge1 0.000 0.000 0.500
Ru1 0.500 0.500 0.500
C1 0.000 0.000 0.000
```


Record 4
Compound: BeTc2GeC
Source: the Alexandria database
Functional: PBE
Structure: optimized geometry

Calculated values
E	-7.6355	eV per atom
symmetry	No. 123
ΔH_f (0 K)	0.024	eV/atom

The structure in CIF format:
```
data_BeTc2GeC
_symmetry_space_group_name_H-M 'P 1'
_symmetry_Int_Tables_number 1
_cell_length_a 4.204
_cell_length_b 4.204
_cell_length_c 3.330
_cell_angle_alpha 90.00
_cell_angle_beta 90.00
_cell_angle_gamma 90.00
loop_
_symmetry_equiv_pos_as_xyz
'x,y,z'
loop_
_atom_site_label
_atom_site_fract_x
_atom_site_fract_y
_atom_site_fract_z
Be1 0.000 0.000 0.000
Tc1 0.000 0.500 0.500
Tc2 0.500 0.000 0.500
Ge1 0.500 0.500 0.000
C1 0.000 0.000 0.500
```


Record 5
Compound: Tm2BeGeC
Source: the Alexandria database
Functional: PBE
Structure: optimized geometry

Calculated values
E	-5.9051	eV per atom
symmetry	No. 11
ΔH_f (0 K)	-0.603	eV/atom

The structure in CIF format:
```
data_Tm2BeGeC
_symmetry_space_group_name_H-M 'P 1'
_symmetry_Int_Tables_number 1
_cell_length_a 6.282
_cell_length_b 3.680
_cell_length_c 7.854
_cell_angle_alpha 90.00
_cell_angle_beta 107.93
_cell_angle_gamma 90.00
loop_
_symmetry_equiv_pos_as_xyz
'x,y,z'
loop_
_atom_site_label
_atom_site_fract_x
_atom_site_fract_y
_atom_site_fract_z
Tm1 0.198 0.250 0.384
Tm2 0.214 0.250 0.967
Tm3 0.786 0.750 0.033
Tm4 0.802 0.750 0.616
Be1 0.455 0.750 0.246
Be2 0.545 0.250 0.754
Ge1 0.320 0.750 0.700
Ge2 0.680 0.250 0.300
C1 0.174 0.750 0.173
C2 0.826 0.250 0.827
```


Record 6
Compound: Y2BeGeC
Source: the Alexandria database
Functional: PBE
Structure: optimized geometry

Calculated values
E	-6.6915	eV per atom
symmetry	No. 11
ΔH_f (0 K)	-0.592	eV/atom
offset from the most stable computed form	0	meV/atom

The structure in CIF format:
```
data_Y2BeGeC
_symmetry_space_group_name_H-M 'P 1'
_symmetry_Int_Tables_number 1
_cell_length_a 6.365
_cell_length_b 3.750
_cell_length_c 7.984
_cell_angle_alpha 90.00
_cell_angle_beta 107.97
_cell_angle_gamma 90.00
loop_
_symmetry_equiv_pos_as_xyz
'x,y,z'
loop_
_atom_site_label
_atom_site_fract_x
_atom_site_fract_y
_atom_site_fract_z
Y1 0.201 0.250 0.387
Y2 0.215 0.250 0.966
Y3 0.785 0.750 0.034
Y4 0.799 0.750 0.613
Be1 0.454 0.750 0.246
Be2 0.546 0.250 0.754
Ge1 0.326 0.750 0.701
Ge2 0.674 0.250 0.299
C1 0.175 0.750 0.174
C2 0.825 0.250 0.826
```


Record 7
Compound: YBe2GeC
Source: the Alexandria database
Functional: PBE
Structure: optimized geometry

Calculated values
E	-5.4657	eV per atom
symmetry	No. 123
ΔH_f (0 K)	0.086	eV/atom

The structure in CIF format:
```
data_YBe2GeC
_symmetry_space_group_name_H-M 'P 1'
_symmetry_Int_Tables_number 1
_cell_length_a 3.853
_cell_length_b 3.853
_cell_length_c 4.832
_cell_angle_alpha 90.00
_cell_angle_beta 90.00
_cell_angle_gamma 90.00
loop_
_symmetry_equiv_pos_as_xyz
'x,y,z'
loop_
_atom_site_label
_atom_site_fract_x
_atom_site_fract_y
_atom_site_fract_z
Y1 0.000 0.000 0.000
Be1 0.000 0.500 0.500
Be2 0.500 0.000 0.500
Ge1 0.500 0.500 0.000
C1 0.000 0.000 0.500
```


Record 8
Compound: Y2BeGeC
Source: the Alexandria database
Functional: PBE
Structure: optimized geometry

Calculated values
E	-6.6125	eV per atom
symmetry	No. 123
ΔH_f (0 K)	-0.513	eV/atom
offset from the most stable computed form	79	meV/atom

The structure in CIF format:
```
data_Y2BeGeC
_symmetry_space_group_name_H-M 'P 1'
_symmetry_Int_Tables_number 1
_cell_length_a 5.025
_cell_length_b 5.025
_cell_length_c 3.500
_cell_angle_alpha 90.00
_cell_angle_beta 90.00
_cell_angle_gamma 90.00
loop_
_symmetry_equiv_pos_as_xyz
'x,y,z'
loop_
_atom_site_label
_atom_site_fract_x
_atom_site_fract_y
_atom_site_fract_z
Y1 0.000 0.500 0.000
Y2 0.500 0.000 0.000
Be1 0.000 0.000 0.500
Ge1 0.500 0.500 0.500
C1 0.000 0.000 0.000
```


Record 9
Compound: Hf2BeC
Source: the Alexandria database
Functional: PBE
Structure: optimized geometry

Calculated values
E	-7.6923	eV per atom
symmetry	No. 225
ΔH_f (0 K)	0.522	eV/atom
offset from the most stable computed form	1043	meV/atom

The structure in CIF format:
```
data_Hf2BeC
_symmetry_space_group_name_H-M 'P 1'
_symmetry_Int_Tables_number 1
_cell_length_a 4.281
_cell_length_b 4.281
_cell_length_c 4.281
_cell_angle_alpha 60.00
_cell_angle_beta 60.00
_cell_angle_gamma 60.00
loop_
_symmetry_equiv_pos_as_xyz
'x,y,z'
loop_
_atom_site_label
_atom_site_fract_x
_atom_site_fract_y
_atom_site_fract_z
Hf1 0.250 0.250 0.250
Hf2 0.750 0.750 0.750
Be1 0.000 0.000 0.000
C1 0.500 0.500 0.500
```


Record 10
Compound: Hf2BeC
Source: the Alexandria database
Functional: PBE
Structure: optimized geometry

Calculated values
E	-8.6392	eV per atom
symmetry	No. 166
ΔH_f (0 K)	-0.425	eV/atom
offset from the most stable computed form	96	meV/atom

The structure in CIF format:
```
data_Hf2BeC
_symmetry_space_group_name_H-M 'P 1'
_symmetry_Int_Tables_number 1
_cell_length_a 6.498
_cell_length_b 6.498
_cell_length_c 6.498
_cell_angle_alpha 29.32
_cell_angle_beta 29.32
_cell_angle_gamma 29.32
loop_
_symmetry_equiv_pos_as_xyz
'x,y,z'
loop_
_atom_site_label
_atom_site_fract_x
_atom_site_fract_y
_atom_site_fract_z
Hf1 0.236 0.236 0.236
Hf2 0.764 0.764 0.764
Be1 0.000 0.000 0.000
C1 0.500 0.500 0.500
```


Record 11
Compound: HfBeC2
Source: the Alexandria database
Functional: PBE
Structure: optimized geometry

Calculated values
E	-7.6635	eV per atom
symmetry	No. 122
ΔH_f (0 K)	0.368	eV/atom

The structure in CIF format:
```
data_HfBeC2
_symmetry_space_group_name_H-M 'P 1'
_symmetry_Int_Tables_number 1
_cell_length_a 6.186
_cell_length_b 6.186
_cell_length_c 6.186
_cell_angle_alpha 144.36
_cell_angle_beta 144.36
_cell_angle_gamma 51.28
loop_
_symmetry_equiv_pos_as_xyz
'x,y,z'
loop_
_atom_site_label
_atom_site_fract_x
_atom_site_fract_y
_atom_site_fract_z
Hf1 0.000 0.000 0.000
Hf2 0.750 0.250 0.500
Be1 0.250 0.750 0.500
Be2 0.500 0.500 0.000
C1 0.313 0.625 0.188
C2 0.375 0.563 0.688
C3 0.437 0.125 0.812
C4 0.875 0.687 0.312
```


Record 12
Compound: Hf2BeC
Source: the Alexandria database
Functional: PBE
Structure: optimized geometry

Calculated values
E	-8.0906	eV per atom
symmetry	No. 122
ΔH_f (0 K)	0.124	eV/atom
offset from the most stable computed form	645	meV/atom

The structure in CIF format:
```
data_Hf2BeC
_symmetry_space_group_name_H-M 'P 1'
_symmetry_Int_Tables_number 1
_cell_length_a 5.438
_cell_length_b 5.438
_cell_length_c 5.438
_cell_angle_alpha 108.92
_cell_angle_beta 108.92
_cell_angle_gamma 110.59
loop_
_symmetry_equiv_pos_as_xyz
'x,y,z'
loop_
_atom_site_label
_atom_site_fract_x
_atom_site_fract_y
_atom_site_fract_z
Hf1 0.081 0.625 0.956
Hf2 0.375 0.331 0.456
Hf3 0.669 0.125 0.044
Hf4 0.875 0.919 0.544
Be1 0.250 0.750 0.500
Be2 0.500 0.500 0.000
C1 0.000 0.000 0.000
C2 0.750 0.250 0.500
```


Record 13
Compound: HfBe2C
Source: the Alexandria database
Functional: PBE
Structure: optimized geometry

Calculated values
E	-6.0317	eV per atom
symmetry	No. 122
ΔH_f (0 K)	0.626	eV/atom

The structure in CIF format:
```
data_HfBe2C
_symmetry_space_group_name_H-M 'P 1'
_symmetry_Int_Tables_number 1
_cell_length_a 5.221
_cell_length_b 5.221
_cell_length_c 5.221
_cell_angle_alpha 117.73
_cell_angle_beta 117.73
_cell_angle_gamma 93.98
loop_
_symmetry_equiv_pos_as_xyz
'x,y,z'
loop_
_atom_site_label
_atom_site_fract_x
_atom_site_fract_y
_atom_site_fract_z
Hf1 0.000 0.000 0.000
Hf2 0.750 0.250 0.500
Be1 0.312 0.125 0.687
Be2 0.375 0.688 0.813
Be3 0.438 0.625 0.313
Be4 0.875 0.562 0.187
C1 0.250 0.750 0.500
C2 0.500 0.500 0.000
```


Record 14
Compound: Hf2BeC
Source: the Alexandria database
Functional: PBE
Structure: optimized geometry

Calculated values
E	-8.7354	eV per atom
symmetry	No. 63
ΔH_f (0 K)	-0.521	eV/atom
offset from the most stable computed form	0	meV/atom

The structure in CIF format:
```
data_Hf2BeC
_symmetry_space_group_name_H-M 'P 1'
_symmetry_Int_Tables_number 1
_cell_length_a 9.992
_cell_length_b 9.992
_cell_length_c 3.419
_cell_angle_alpha 90.00
_cell_angle_beta 90.00
_cell_angle_gamma 160.75
loop_
_symmetry_equiv_pos_as_xyz
'x,y,z'
loop_
_atom_site_label
_atom_site_fract_x
_atom_site_fract_y
_atom_site_fract_z
Hf1 0.078 0.922 0.750
Hf2 0.306 0.694 0.750
Hf3 0.694 0.306 0.250
Hf4 0.922 0.078 0.250
Be1 0.469 0.531 0.750
Be2 0.531 0.469 0.250
C1 0.191 0.809 0.750
C2 0.809 0.191 0.250
```